<P>
! PBE La2VRu, relaxed; values from VASP
&SYSTEM
  ibrav = 0, nat = 8, ntyp = 3
/
ATOMIC_SPECIES
La 138.91 La.upf
V 50.94 V.upf
Ru 101.07 Ru.upf
ATOMIC_POSITIONS crystal
La 0.0845 0.6250 0.9595
La 0.3750 0.3345 0.4595
La 0.6655 0.1250 0.0405
La 0.8750 0.9155 0.5405
V 0.2500 0.7500 0.5000
V 0.5000 0.5000 0.0000
Ru 0.0000 0.0000 0.0000
Ru 0.7500 0.2500 0.5000
CELL_PARAMETERS angstrom
-3.9895 3.9895 3.2068
3.9895 -3.9895 3.2068
3.9895 3.9895 -3.2068
! - D(E_F) (states/eV per atom) = 1.655
! - space-group type = I-42d (122)

<Q>
! PBE La2VRu, relaxed; values from VASP
&SYSTEM
  ibrav = 0, nat = 4, ntyp = 3
/
ATOMIC_SPECIES
La 138.91 La.upf
V 50.94 V.upf
Ru 101.07 Ru.upf
ATOMIC_POSITIONS crystal
La 0.2500 0.2500 0.2500
La 0.7500 0.7500 0.7500
V 0.0000 0.0000 0.0000
Ru 0.5000 0.5000 0.5000
CELL_PARAMETERS angstrom
0.0000 3.6455 3.6455
3.6455 0.0000 3.6455
3.6455 3.6455 0.0000
! - D(E_F) (states/eV per atom) = 0.873
! - space-group type = Fm-3m (225)

Stability comparison, relative energies in kJ/mol of atoms: <P> 21.6; <Q> 0.0